[1]
# Na3ZrV2Te6

A relaxed Na3ZrV2Te6 crystal (PBE, Alexandria via LeMat-Bulk).

Summary:
Mass density in kg/m³: 5153
ΔE_f (raw) in eV per atom: -0.672
SG: C2/m, No. 12
Crystal system: monoclinic
Energy in eV per atom: -4.805

Lattice parameters (Å, degrees): 7.0958 7.0958 7.9456 98.57 98.57 119.89
Last column: nearest neighbours and their distance in Å.
Atoms (fractional coordinates):
Na (0.8389, 0.1611, 0.5000)  6 Te 3.19-3.26
V (0.3319, 0.6681, 0.0000)  6 Te 2.82-2.83
Te (0.0712, 0.4172, 0.2124)  2 V 2.82-2.83, 1 Zr 2.94
Te (0.7233, 0.7233, 0.2104)  2 V 2.83, 1 Zr 2.94, 1 Na 3.16
Te (0.4172, 0.0712, 0.2124)  2 V 2.82-2.83, 1 Zr 2.94
Zr (0.0000, 0.0000, 0.0000)  6 Te 2.94
Te (0.9288, 0.5828, 0.7876)  2 V 2.82-2.83, 1 Zr 2.94
Te (0.2767, 0.2767, 0.7896)  2 V 2.83, 1 Zr 2.94, 1 Na 3.16
Na (0.5000, 0.5000, 0.5000)  6 Te 3.16-3.25
Te (0.5828, 0.9288, 0.7876)  2 V 2.82-2.83, 1 Zr 2.94
Na (0.1611, 0.8389, 0.5000)  6 Te 3.19-3.26
V (0.6681, 0.3319, 0.0000)  6 Te 2.82-2.83


[2]
# La12Tb5Y

A relaxed La12Tb5Y crystal (PBE, Alexandria via LeMat-Bulk).

Summary:
Mass density in kg/m³: 6703
Formation energy from the elements in eV/atom: 0.019
SG: C2/m, No. 12
Crystal system: monoclinic
Energy in eV per atom: -4.912

Lattice parameters (Å, degrees): 10.9437 11.0541 6.3903 107.15 90.01 60.32
Last column: nearest neighbours and their distance in Å.
Atoms (fractional coordinates):
La (0.3386, 0.6658, 0.9997)  4 Tb 3.60-3.71, 7 La 3.62-3.75, 1 Y 3.72
La (0.1716, 0.0000, 0.5000)  3 Tb 3.59-3.71, 7 La 3.63-3.76, 2 Y 3.71
La (0.6704, 0.0000, 0.0000)  1 Y 3.61, 7 La 3.63-3.73, 4 Tb 3.70-3.71
La (0.9956, 0.6659, 0.9997)  4 Tb 3.60-3.71, 7 La 3.62-3.75, 1 Y 3.72
Tb (0.8332, 0.3336, 0.5007)  10 La 3.60-3.71, 1 Tb 3.67, 1 Y 3.68
La (0.0044, 0.3341, 0.0003)  4 Tb 3.60-3.71, 7 La 3.62-3.75, 1 Y 3.72
La (0.3296, 0.0000, 0.0000)  1 Y 3.61, 7 La 3.63-3.73, 4 Tb 3.70-3.71
La (0.4953, 0.6668, 0.5004)  5 Tb 3.60-3.71, 7 La 3.63-3.75
Tb (0.1668, 0.6664, 0.4993)  10 La 3.60-3.71, 1 Tb 3.67, 1 Y 3.68
Tb (0.5000, 0.0000, 0.5000)  10 La 3.59-3.71, 2 Tb 3.68
La (0.6614, 0.3342, 0.0003)  4 Tb 3.60-3.71, 7 La 3.62-3.75, 1 Y 3.72
La (0.5047, 0.3333, 0.4996)  5 Tb 3.60-3.71, 7 La 3.63-3.75
Y (0.0000, 0.0000, 0.0000)  10 La 3.61-3.72, 2 Tb 3.68
La (0.8284, 0.0000, 0.5000)  3 Tb 3.59-3.71, 7 La 3.63-3.76, 2 Y 3.71
Tb (0.3333, 0.3333, 0.9997)  10 La 3.60-3.71, 2 Tb 3.67-3.68
La (0.1621, 0.3332, 0.4995)  5 Tb 3.60-3.71, 7 La 3.63-3.75
Tb (0.6667, 0.6667, 0.0003)  10 La 3.60-3.71, 2 Tb 3.67-3.68
La (0.8379, 0.6668, 0.5005)  5 Tb 3.60-3.71, 7 La 3.63-3.75


[3]
# Th2TiGa

A relaxed Th2TiGa crystal (PBE, Alexandria via LeMat-Bulk).

Summary:
Mass density in kg/m³: 9340
Formation energy from the elements in eV/atom: 0.287
SG: R-3m, No. 166
Crystal system: trigonal
Polymorph energy (0 for the lowest one) in meV per atom: 391
Energy in eV per atom: -6.154

Lattice parameters (Å, degrees): 3.2852 3.2852 11.2260 81.59 81.59 60.00
Last column: nearest neighbours and their distance in Å.
Atoms (fractional coordinates):
Th (0.0886, 0.0886, 0.7342)  1 Ti 2.94, 3 Ga 3.21, 6 Th 3.29
Ga (0.5000, 0.5000, 0.5000)  6 Th 3.21, 6 Ga 3.29
Th (0.9114, 0.9114, 0.2658)  1 Ti 2.94, 3 Ga 3.21, 6 Th 3.29
Ti (0.0000, 0.0000, 0.0000)  2 Th 2.94, 6 Ti 3.29


Question: Look up the mass density of the second one.
Answer: 6703 kg/m³


Question: The highest mass density belongs to which entry?
Answer: Th2TiGa